Entry 1:
Here is a relaxed Tb7Er3 crystal from Alexandria via LeMat-Bulk. Energies are from PBE.

Cell lengths 4.989, 7.094, 9.352 Å; angles 100.90, 105.47, 90.00 degrees
Atoms (fractional coordinates):
Tb: 0.000 0.500 0.000
Tb: 0.200 0.100 0.400
Tb: 0.800 0.900 0.600
Tb: 0.400 0.699 0.800
Tb: 0.600 0.301 0.200
Tb: 0.400 0.200 0.800
Tb: 0.600 0.800 0.200
Er: 0.000 0.000 0.000
Er: 0.200 0.600 0.401
Er: 0.800 0.400 0.599

Calculated values
As for the energy above the most stable polymorph in this dataset: 0.0000 eV per atom. Its calculated volume is 31.28 A^3/atom. Its space group is C2/m (12).

=====

Entry 2:
Here is a relaxed Tb2Er3 crystal from Alexandria via LeMat-Bulk. Energies are from PBE.

Cell lengths 6.227, 6.653, 9.515 Å; angles 65.86, 70.90, 62.09 degrees
Atoms (fractional coordinates):
Tb: 0.767 0.751 0.050
Tb: 0.568 0.749 0.450
Tb: 0.432 0.251 0.550
Tb: 0.233 0.249 0.950
Er: 0.367 0.748 0.850
Er: 0.965 0.752 0.650
Er: 0.835 0.250 0.750
Er: 0.165 0.750 0.250
Er: 0.035 0.248 0.350
Er: 0.633 0.252 0.150

Calculated values
The value obtained for the energy is -4.586 eV per atom. Its calculated volume is 31.33 A^3/atom. Its space group is C2/c (15).

=====

Entry 3:
Here is a relaxed Tb5Er6 crystal from Alexandria via LeMat-Bulk. Energies are from PBE.

Cell lengths 8.987, 7.864, 6.283 Å; angles 80.18, 72.63, 55.15 degrees
Atoms (fractional coordinates):
Tb: 0.500 0.000 0.500
Tb: 0.371 0.258 0.000
Tb: 0.629 0.742 0.000
Tb: 0.240 0.520 0.500
Tb: 0.760 0.480 0.500
Er: 0.836 0.000 0.688
Er: 0.164 0.000 0.312
Er: 0.309 0.738 0.828
Er: 0.953 0.738 0.172
Er: 0.691 0.262 0.172
Er: 0.047 0.262 0.828

Calculated values
The value obtained for the energy is -4.452 eV per atom. Its calculated volume is 31.61 A^3/atom. Its space group is C2/m (12).

=====

Entry 4:
Here is a relaxed Tb8Er3 crystal from Alexandria via LeMat-Bulk. Energies are from PBE.

Cell lengths 7.136, 7.136, 7.136 Å; angles 84.37, 84.37, 84.37 degrees
Atoms (fractional coordinates):
Tb: 0.881 0.305 0.153
Tb: 0.305 0.153 0.881
Tb: 0.153 0.881 0.305
Tb: 0.386 0.386 0.386
Tb: 0.614 0.614 0.614
Tb: 0.847 0.119 0.695
Tb: 0.695 0.847 0.119
Tb: 0.119 0.695 0.847
Er: 0.500 0.000 0.500
Er: 0.000 0.500 0.500
Er: 0.500 0.500 0.000

Calculated values
As for the energy above the most stable polymorph in this dataset: 0.1463 eV per atom. Its calculated volume is 32.59 A^3/atom. Its space group is R-3 (148).

=====

Entry 5:
Here is a relaxed TbEr8 crystal from Alexandria via LeMat-Bulk. Energies are from PBE.

Cell lengths 4.946, 7.839, 7.839 Å; angles 84.29, 71.61, 71.61 degrees
Atoms (fractional coordinates):
Tb: 0.000 0.000 0.000
Er: 0.333 0.000 0.334
Er: 0.667 0.000 0.666
Er: 0.667 0.666 0.000
Er: 0.000 0.666 0.334
Er: 0.334 0.666 0.666
Er: 0.666 0.334 0.334
Er: 0.000 0.334 0.666
Er: 0.333 0.334 0.000

Calculated values
The value obtained for the energy is -4.548 eV per atom. Its calculated volume is 30.41 A^3/atom. Its space group is I4/mmm (139).

=====

Entry 6:
Here is a relaxed Tb13Er2 crystal from Alexandria via LeMat-Bulk. Energies are from PBE.

Cell lengths 6.999, 6.999, 12.166 Å; angles 73.28, 73.28, 60.00 degrees
Atoms (fractional coordinates):
Tb: 0.500 0.500 0.500
Tb: 0.709 0.209 0.873
Tb: 0.209 0.209 0.873
Tb: 0.209 0.709 0.873
Tb: 0.791 0.291 0.127
Tb: 0.291 0.791 0.127
Tb: 0.791 0.791 0.127
Tb: 0.543 0.046 0.365
Tb: 0.046 0.046 0.365
Tb: 0.046 0.543 0.365
Tb: 0.954 0.457 0.635
Tb: 0.457 0.954 0.635
Tb: 0.954 0.954 0.635
Er: 0.294 0.294 0.119
Er: 0.706 0.706 0.881

Calculated values
As for the energy above the most stable polymorph in this dataset: 0.0905 eV per atom. Its calculated volume is 32.46 A^3/atom. Its space group is R-3m (166).

=====

Entry 7:
Here is a relaxed Tb5Er7 crystal from Alexandria via LeMat-Bulk. Energies are from PBE.

Cell lengths 3.535, 9.348, 11.947 Å; angles 73.79, 81.49, 79.10 degrees
Atoms (fractional coordinates):
Tb: 0.834 0.833 0.499
Tb: 0.166 0.167 0.501
Tb: 0.695 0.361 0.250
Tb: 0.305 0.639 0.750
Tb: 0.000 0.000 0.000
Er: 0.638 0.973 0.750
Er: 0.362 0.027 0.250
Er: 0.028 0.695 0.250
Er: 0.972 0.305 0.750
Er: 0.334 0.334 0.999
Er: 0.500 0.500 0.500
Er: 0.666 0.666 0.001

Calculated values
As for the energy above the most stable polymorph in this dataset: 0.0000 eV per atom. Its calculated volume is 30.86 A^3/atom. Its space group is C2/m (12).

=====

Entry 8:
Here is a relaxed TbEr7 crystal from Alexandria via LeMat-Bulk. Energies are from PBE.

Cell lengths 7.003, 7.003, 7.003 Å; angles 60.00, 60.00, 60.00 degrees
Atoms (fractional coordinates):
Tb: 0.000 0.000 0.000
Er: 0.500 0.500 0.000
Er: 0.500 0.000 0.500
Er: 0.000 0.500 0.500
Er: 0.500 0.000 0.000
Er: 0.000 0.500 0.000
Er: 0.000 0.000 0.500
Er: 0.500 0.500 0.500

Calculated values
The value obtained for the energy is -4.547 eV per atom. Its calculated volume is 30.36 A^3/atom. Its space group is Fm-3m (225).

=====

- The lowest calculated volume belongs to which entry?
  TbEr7

=====

- The highest calculated volume belongs to which entry?
  Tb8Er3

=====

What did the seventh record say?
Here is a relaxed Tb5Er7 crystal from Alexandria via LeMat-Bulk. Energies are from PBE.

Cell lengths 3.535, 9.348, 11.947 Å; angles 73.79, 81.49, 79.10 degrees
Atoms (fractional coordinates):
Tb: 0.834 0.833 0.499
Tb: 0.166 0.167 0.501
Tb: 0.695 0.361 0.250
Tb: 0.305 0.639 0.750
Tb: 0.000 0.000 0.000
Er: 0.638 0.973 0.750
Er: 0.362 0.027 0.250
Er: 0.028 0.695 0.250
Er: 0.972 0.305 0.750
Er: 0.334 0.334 0.999
Er: 0.500 0.500 0.500
Er: 0.666 0.666 0.001

Calculated values
As for the energy above the most stable polymorph in this dataset: 0.0000 eV per atom. Its calculated volume is 30.86 A^3/atom. Its space group is C2/m (12).

=====

- Look up the calculated volume of the first one.
  31.28 A^3/atom